Record 1
{
  "formula": "YHo3Mg6",
  "functional": "PBE-GGA",
  "state": "optimized geometry",
  "dos_ef_per_ev_atom": 1.0006,
  "dft_energy_ev_per_fu": -30.43,
  "magmom_total_mub_per_cell": 0.0,
  "space_group": "P2_1/m",
  "lattice_angstrom": [[-2.6128, -4.2121, -1.7559], [1.0526, 2.9720, -8.6956], [8.9540, -6.4237, 2.0855]],
  "species": ["Mg", "Mg", "Ho", "Mg", "Mg", "Mg", "Ho", "Ho", "Ho", "Y", "Mg", "Ho", "Mg", "Mg", "Ho", "Mg", "Mg", "Mg", "Mg", "Y"],
  "fractional_positions": [[0.7500, 0.5575, 0.8989], [0.7500, 0.1451, 0.6977], [0.7500, 0.4571, 0.6024], [0.2500, 0.8549, 0.3023], [0.7500, 0.7558, 0.5074], [0.2500, 0.0471, 0.9014], [0.2500, 0.5429, 0.3976], [0.2500, 0.7489, 0.0048], [0.7500, 0.2511, 0.9952], [0.7500, 0.0516, 0.3973], [0.7500, 0.3414, 0.2934], [0.7500, 0.6481, 0.2029], [0.2500, 0.1455, 0.1951], [0.2500, 0.2442, 0.4926], [0.2500, 0.3519, 0.7971], [0.7500, 0.9529, 0.0986], [0.2500, 0.4425, 0.1011], [0.2500, 0.6586, 0.7066], [0.7500, 0.8545, 0.8049], [0.2500, 0.9484, 0.6027]]
}



Record 2
{
  "formula": "Y4Ho9Mg11",
  "functional": "PBE-GGA",
  "state": "optimized geometry",
  "dos_ef_per_ev_atom": 1.1849,
  "dft_energy_ev_per_fu": -85.28,
  "magmom_total_mub_per_cell": 0.0,
  "space_group": "Cmmm",
  "lattice_angstrom": [[3.5753, 0.0000, 0.0000], [0.0000, 13.0928, -4.8307], [0.0000, 0.7032, 13.9378]],
  "species": ["Ho", "Mg", "Mg", "Ho", "Ho", "Ho", "Mg", "Ho", "Ho", "Mg", "Mg", "Ho", "Y", "Mg", "Mg", "Y", "Ho", "Mg", "Mg", "Y", "Mg", "Mg", "Y", "Ho"],
  "fractional_positions": [[0.5000, 0.5000, 0.5000], [0.0000, 0.3678, 0.6322], [0.0000, 0.8182, 0.1818], [0.5000, 0.2077, 0.0154], [0.5000, 0.0154, 0.2077], [0.5000, 0.3792, 0.8438], [0.0000, 0.7907, 0.7907], [0.5000, 0.1562, 0.6208], [0.5000, 0.8438, 0.3792], [0.0000, 0.0518, 0.4117], [0.0000, 0.9482, 0.5883], [0.5000, 0.9846, 0.7923], [0.5000, 0.4154, 0.2496], [0.0000, 0.0000, 0.0000], [0.0000, 0.6322, 0.3678], [0.5000, 0.7504, 0.5846], [0.5000, 0.6208, 0.1562], [0.0000, 0.5883, 0.9482], [0.0000, 0.1818, 0.8182], [0.5000, 0.2496, 0.4154], [0.0000, 0.4117, 0.0518], [0.0000, 0.2093, 0.2093], [0.5000, 0.5846, 0.7504], [0.5000, 0.7923, 0.9846]]
}



Record 3
{
  "formula": "YHo8Mg6",
  "functional": "PBE-GGA",
  "state": "optimized geometry",
  "dos_ef_per_ev_atom": 1.3924,
  "dft_energy_ev_per_fu": -49.67,
  "magmom_total_mub_per_cell": 0.0,
  "space_group": "R-3",
  "lattice_angstrom": [[9.0739, 0.0000, 0.0000], [4.5369, 7.8582, 0.0000], [4.5369, 2.6194, 6.4182]],
  "species": ["Ho", "Mg", "Mg", "Ho", "Ho", "Ho", "Ho", "Ho", "Mg", "Ho", "Mg", "Mg", "Ho", "Mg", "Y"],
  "fractional_positions": [[0.5475, 0.2180, 0.3507], [0.0479, 0.7152, 0.8553], [0.9521, 0.2848, 0.1447], [0.7820, 0.1162, 0.6493], [0.1162, 0.4525, 0.6493], [0.3345, 0.3345, 0.9965], [0.2180, 0.8838, 0.3507], [0.4525, 0.7820, 0.6493], [0.2848, 0.6184, 0.1447], [0.6655, 0.6655, 0.0035], [0.3816, 0.0479, 0.8553], [0.6184, 0.9521, 0.1447], [0.8838, 0.5475, 0.3507], [0.7152, 0.3816, 0.8553], [0.0000, 0.0000, 0.0000]]
}



Record 4
{
  "formula": "Y3HoMg6",
  "functional": "PBE-GGA",
  "state": "optimized geometry",
  "dos_ef_per_ev_atom": 0.9846,
  "dft_energy_ev_per_fu": -34.35,
  "magmom_total_mub_per_cell": 0.7,
  "space_group": "P2_1/m",
  "lattice_angstrom": [[5.2772, 0.0000, 0.0000], [0.0000, 8.8593, -2.6923], [0.0000, 0.2340, 11.2541]],
  "species": ["Mg", "Mg", "Mg", "Mg", "Mg", "Mg", "Y", "Y", "Y", "Mg", "Mg", "Mg", "Ho", "Mg", "Mg", "Ho", "Mg", "Y", "Y", "Y"],
  "fractional_positions": [[0.7500, 0.1428, 0.6979], [0.2500, 0.4426, 0.0995], [0.7500, 0.7573, 0.5093], [0.7500, 0.5574, 0.9005], [0.2500, 0.8572, 0.3021], [0.7500, 0.3384, 0.2937], [0.7500, 0.6490, 0.2053], [0.2500, 0.3510, 0.7947], [0.7500, 0.4570, 0.6032], [0.2500, 0.6616, 0.7063], [0.2500, 0.2427, 0.4907], [0.2500, 0.1458, 0.1946], [0.7500, 0.0503, 0.3994], [0.7500, 0.8542, 0.8054], [0.7500, 0.9530, 0.1011], [0.2500, 0.9497, 0.6006], [0.2500, 0.0470, 0.8989], [0.2500, 0.7512, 0.0041], [0.7500, 0.2488, 0.9959], [0.2500, 0.5430, 0.3968]]
}



Record 5
{
  "formula": "Y4Ho8Mg",
  "functional": "PBE-GGA",
  "state": "optimized geometry",
  "dos_ef_per_ev_atom": 1.5175,
  "dft_energy_ev_per_fu": -63.71,
  "magmom_total_mub_per_cell": 0.0,
  "space_group": "C2/m",
  "lattice_angstrom": [[-0.2131, 0.2265, 4.9764], [-2.0904, -5.0967, 2.6404], [10.9587, -11.3249, 3.4826]],
  "species": ["Ho", "Ho", "Y", "Y", "Ho", "Mg", "Ho", "Y", "Y", "Ho", "Ho", "Ho", "Ho"],
  "fractional_positions": [[0.8175, 0.3222, 0.0427], [0.5974, 0.0652, 0.7399], [0.9047, 0.3758, 0.8148], [0.1267, 0.6276, 0.1190], [0.9803, 0.4543, 0.5851], [0.5156, 0.0017, 0.9670], [0.0511, 0.5491, 0.3486], [0.3615, 0.8497, 0.4274], [0.6700, 0.1536, 0.5063], [0.4340, 0.9383, 0.1938], [0.2139, 0.6812, 0.8910], [0.7453, 0.2374, 0.2720], [0.2861, 0.7660, 0.6617]]
}



Record 6
{
  "formula": "Y6Ho2Mg",
  "functional": "PBE-GGA",
  "state": "optimized geometry",
  "dos_ef_per_ev_atom": 1.5685,
  "de_polymorph_mev_per_atom": 0,
  "magmom_total_mub_per_cell": 0.0,
  "space_group": "P4_2/mnm",
  "lattice_angstrom": [[5.0483, 0.0000, 0.2132], [0.0000, 10.5371, 0.0000], [-0.4442, 0.0000, 10.5279]],
  "species": ["Mg", "Mg", "Y", "Y", "Ho", "Y", "Y", "Ho", "Y", "Ho", "Y", "Y", "Y", "Ho", "Y", "Y", "Y", "Y"],
  "fractional_positions": [[0.5000, 0.5000, 0.0000], [0.0000, 0.0000, 0.5000], [0.0002, 0.6636, 0.8364], [0.9998, 0.3364, 0.1636], [0.5002, 0.8310, 0.6689], [0.4999, 0.1677, 0.9985], [0.0000, 0.9984, 0.8323], [0.0002, 0.6689, 0.1689], [0.5000, 0.4984, 0.6677], [0.4998, 0.1690, 0.3311], [0.0000, 0.0016, 0.1677], [0.5002, 0.8365, 0.3364], [0.9999, 0.3323, 0.4984], [0.9998, 0.3311, 0.8311], [0.5000, 0.5016, 0.3323], [0.5001, 0.8323, 0.0015], [0.0001, 0.6677, 0.5016], [0.4998, 0.1635, 0.6636]]
}



Record 7
{
  "formula": "Y2HoMg2",
  "functional": "PBE-GGA",
  "state": "optimized geometry",
  "dos_ef_per_ev_atom": 1.1561,
  "de_polymorph_mev_per_atom": 0,
  "magmom_total_mub_per_cell": 0.0,
  "space_group": "Cmcm",
  "lattice_angstrom": [[3.7111, 0.0000, -0.4972], [0.0000, 5.4329, 0.0000], [-0.0084, 0.0000, 14.0380]],
  "species": ["Mg", "Mg", "Y", "Ho", "Mg", "Ho", "Y", "Mg", "Y", "Y"],
  "fractional_positions": [[0.4465, 0.7500, 0.8935], [0.5535, 0.2500, 0.1065], [0.0452, 0.7500, 0.0899], [0.1511, 0.2500, 0.3021], [0.3599, 0.2500, 0.7192], [0.8489, 0.7500, 0.6979], [0.7634, 0.2500, 0.5261], [0.6401, 0.7500, 0.2808], [0.2366, 0.7500, 0.4739], [0.9548, 0.2500, 0.9101]]
}



Record 8
{
  "formula": "Y8Ho2Mg",
  "functional": "PBE-GGA",
  "state": "optimized geometry",
  "dos_ef_per_ev_atom": 1.7306,
  "de_polymorph_mev_per_atom": 0,
  "magmom_total_mub_per_cell": 0.0,
  "space_group": "C2/m",
  "lattice_angstrom": [[-0.2926, 1.2907, 5.5139], [-8.9933, -4.2431, 0.1519], [-4.1312, -8.9205, 1.5048]],
  "species": ["Mg", "Ho", "Y", "Y", "Y", "Y", "Y", "Y", "Ho", "Y", "Y"],
  "fractional_positions": [[0.0000, 0.0000, 0.0000], [0.2555, 0.7182, 0.7182], [0.7655, 0.8194, 0.8194], [0.2345, 0.1806, 0.1806], [0.7663, 0.4506, 0.4506], [0.7406, 0.8644, 0.3938], [0.7406, 0.3938, 0.8644], [0.2594, 0.1356, 0.6062], [0.7445, 0.2818, 0.2818], [0.2337, 0.5494, 0.5494], [0.2594, 0.6062, 0.1356]]
}



Record 9
{
  "formula": "Y6Ho2Mg",
  "functional": "PBE-GGA",
  "state": "optimized geometry",
  "dos_ef_per_ev_atom": 1.8019,
  "de_polymorph_mev_per_atom": 147,
  "magmom_total_mub_per_cell": 0.0,
  "space_group": "C2/m",
  "lattice_angstrom": [[3.4109, 0.0000, 0.6225], [1.9834, 5.4218, -1.2112], [-1.2708, -3.5817, 16.6180]],
  "species": ["Y", "Ho", "Y", "Y", "Y", "Y", "Mg", "Ho", "Y"],
  "fractional_positions": [[0.1006, 0.1987, 0.6002], [0.8324, 0.5055, 0.8297], [0.4355, 0.1904, 0.9386], [0.2249, 0.8230, 0.7272], [0.7751, 0.1770, 0.2728], [0.8994, 0.8013, 0.3998], [0.5000, 0.5000, 0.5000], [0.1676, 0.4945, 0.1703], [0.5645, 0.8096, 0.0614]]
}



Record 10
{
  "formula": "Y3HoMg",
  "functional": "PBE-GGA",
  "state": "optimized geometry",
  "dos_ef_per_ev_atom": 1.3309,
  "de_polymorph_mev_per_atom": 0,
  "magmom_total_mub_per_cell": 0.0,
  "space_group": "C2/m",
  "lattice_angstrom": [[-1.8136, -2.8732, -1.1158], [2.8125, -3.3538, 4.0647], [-8.9061, 3.7287, 10.6061]],
  "species": ["Y", "Y", "Mg", "Y", "Y", "Mg", "Y", "Ho", "Ho", "Y"],
  "fractional_positions": [[0.6517, 0.1261, 0.3034], [0.0466, 0.2875, 0.0931], [0.4504, 0.2018, 0.9008], [0.1443, 0.6259, 0.2887], [0.3483, 0.8739, 0.6966], [0.5496, 0.7982, 0.0992], [0.9534, 0.7125, 0.9069], [0.2527, 0.2516, 0.5053], [0.7473, 0.7484, 0.4947], [0.8557, 0.3741, 0.7113]]
}